VASP calculation (PBE-GGA) on crystalline Na12TlIn3 at its relaxed geometry.

## Properties
DFT total energy   -1.70 eV per atom
Energy of formation from the pure elements   -0.049 eV/atom

a = 5.0903 Å, b = 5.0903 Å, c = 18.8083 Å
α = 90.00°, β = 90.00°, γ = 90.00°
Last column: nearest neighbours and their distance in Å.
Space group P4/mmm (No. 123)
One atom of each set of equivalent atoms:
Na: 0.0000 0.0000 0.0000 [1 per cell]  8 Na 3.47, 4 In 3.60
Na: 0.0000 0.0000 0.2495 [2 per cell]  8 Na 3.45-3.46, 4 In 3.60
Na: 0.0000 0.0000 0.5000 [1 per cell]  8 Na 3.49, 4 Tl 3.60
Na: 0.0000 0.5000 0.1251 [4 per cell]  4 In 3.46-3.47, 8 Na 3.46-3.60
Na: 0.0000 0.5000 0.3734 [4 per cell]  8 Na 3.45-3.60, 2 In 3.45, 2 Tl 3.49
Tl: 0.5000 0.5000 0.5000 [1 per cell]  12 Na 3.49-3.60
In: 0.5000 0.5000 0.0000 [1 per cell]  12 Na 3.47-3.60
In: 0.5000 0.5000 0.2494 [2 per cell]  12 Na 3.45-3.60


VASP calculation (PBE-GGA) on crystalline LiHg3I at its relaxed geometry.

## Properties
DFT total energy   -1.05 eV per atom
Relative energy among the computed polymorphs   0.000 eV per atom

a = 5.4155 Å, b = 5.4155 Å, c = 5.4155 Å
α = 90.00°, β = 90.00°, γ = 90.00°
Last column: nearest neighbours and their distance in Å.
Space group Pm-3m (No. 221)
One atom of each set of equivalent atoms:
Li: 0.0000 0.0000 0.0000 [1 per cell]  6 Hg 2.71
Hg: 0.0000 0.0000 0.5000 [3 per cell]  2 Li 2.71
I: 0.5000 0.5000 0.5000 [1 per cell]  12 Hg 3.83


VASP calculation (PBE-GGA) on crystalline SrSmPb2 at its relaxed geometry.

## Properties
DFT total energy   -3.96 eV per atom
Energy of formation from the pure elements   -0.504 eV/atom

a = 3.6714 Å, b = 3.6714 Å, c = 9.3909 Å
α = 90.00°, β = 90.00°, γ = 90.00°
Last column: nearest neighbours and their distance in Å.
Space group P4/mmm (No. 123)
One atom of each set of equivalent atoms:
Sr: 0.0000 0.0000 0.0000 [1 per cell]  8 Pb 3.57, 4 Sr 3.67
Sm: 0.0000 0.0000 0.5000 [1 per cell]  8 Pb 3.43, 4 Sm 3.67
Pb: 0.5000 0.5000 0.2608 [2 per cell]  4 Sm 3.43, 4 Sr 3.57, 4 Pb 3.67


VASP calculation (PBE-GGA) on crystalline K3UTl2Se6 at its relaxed geometry.

## Properties
DFT total energy   -4.28 eV per atom

a = 7.7076 Å, b = 13.2925 Å, c = 7.9113 Å
α = 90.00°, β = 109.08°, γ = 90.00°
Last column: nearest neighbours and their distance in Å.
Space group C2/m (No. 12)
One atom of each set of equivalent atoms:
K: 0.0000 0.0000 0.0000 [2 per cell]  6 Se 3.25-3.64
K: 0.0000 0.3223 0.0000 [4 per cell]  6 Se 3.28-3.50
U: 0.0000 0.5000 0.5000 [2 per cell]  6 Se 2.72-2.74
Tl: 0.0000 0.1646 0.5000 [4 per cell]  6 Se 3.15-3.16
Se: 0.2156 0.3536 0.7091 [8 per cell]  1 U 2.74
Se: 0.2172 0.5000 0.2890 [4 per cell]  1 U 2.72


VASP calculation (PBE-GGA) on crystalline LiHfZr3 at its relaxed geometry.

## Properties
DFT total energy   -6.76 eV per atom
Energy of formation from the pure elements   0.743 eV/atom
Relative energy among the computed polymorphs   0.000 eV per atom

a = 4.7965 Å, b = 4.7965 Å, c = 4.7965 Å
α = 90.00°, β = 90.00°, γ = 90.00°
Last column: nearest neighbours and their distance in Å.
Space group Pm-3m (No. 221)
One atom of each set of equivalent atoms:
Li: 0.0000 0.0000 0.0000 [1 per cell]  6 Zr 2.40
Hf: 0.5000 0.5000 0.5000 [1 per cell]  12 Zr 3.39
Zr: 0.0000 0.0000 0.5000 [3 per cell]  2 Li 2.40


VASP calculation (PBE-GGA) on crystalline CdMo3 at its relaxed geometry.

## Properties
DFT total energy   -7.90 eV per atom
Energy of formation from the pure elements   0.453 eV/atom
Relative energy among the computed polymorphs   0.234 eV per atom

a = 2.8071 Å, b = 2.8071 Å, c = 9.9582 Å
α = 90.00°, β = 90.00°, γ = 120.00°
Last column: nearest neighbours and their distance in Å.
Space group P-6m2 (No. 187)
One atom of each set of equivalent atoms:
Cd: 0.0000 0.0000 0.0000 [1 per cell]  6 Cd 2.81, 6 Mo 3.06
Mo: 0.0000 0.0000 0.5000 [1 per cell]  12 Mo 2.81-2.88
Mo: 0.3333 0.6667 0.2610 [2 per cell]  9 Mo 2.81-2.88, 3 Cd 3.06


VASP calculation (PBE-GGA) on crystalline Y2Zn3Ni12Au at its relaxed geometry.

## Properties
DFT total energy   -4.89 eV per atom
Energy of formation from the pure elements   0.081 eV/atom

a = 6.0228 Å, b = 6.0228 Å, c = 26.2955 Å
α = 90.00°, β = 90.00°, γ = 120.00°
Last column: nearest neighbours and their distance in Å.
Space group R-3m (No. 166, hexagonal axes)
One atom of each set of equivalent atoms:
Y: 0.0000 0.0000 0.1397 [6 per cell]  6 Ni 2.81-2.83
Zn: 0.0000 0.5000 0.0000 [9 per cell]  4 Ni 2.31
Ni: 0.0553 0.5277 0.8987 [18 per cell]  4 Ni 2.39-2.51, 1 Au 2.66
Ni: 0.0769 0.5384 0.6208 [18 per cell]  2 Zn 2.31, 4 Ni 2.32-2.39
Au: 0.0000 0.0000 0.5000 [3 per cell]  6 Ni 2.66


VASP calculation (PBE-GGA) on crystalline TaH2AuI at its relaxed geometry.

## Properties
DFT total energy   -3.99 eV per atom

a = 3.9511 Å, b = 3.9511 Å, c = 5.5450 Å
α = 90.00°, β = 90.00°, γ = 90.00°
Last column: nearest neighbours and their distance in Å.
Space group P4/mmm (No. 123)
One atom of each set of equivalent atoms:
Ta: 0.0000 0.0000 0.0000 [1 per cell]  4 H 1.98
H: 0.0000 0.5000 0.0000 [2 per cell]  2 Ta 1.98
Au: 0.5000 0.5000 0.5000 [1 per cell]  4 I 2.79
I: 0.0000 0.0000 0.5000 [1 per cell]  2 Ta 2.77, 4 Au 2.79


VASP calculation (PBE-GGA) on crystalline MgTl2Os at its relaxed geometry.

## Properties
DFT total energy   -3.74 eV per atom
Energy of formation from the pure elements   0.645 eV/atom
Relative energy among the computed polymorphs   0.176 eV per atom

a = 6.8336 Å, b = 6.8336 Å, c = 6.8336 Å
α = 90.00°, β = 90.00°, γ = 90.00°
Last column: nearest neighbours and their distance in Å.
Space group Fm-3m (No. 225)
One atom of each set of equivalent atoms:
Mg: 0.0000 0.0000 0.0000 [4 per cell]  8 Tl 2.96
Tl: 0.2500 0.2500 0.2500 [8 per cell]  4 Os 2.96, 4 Mg 2.96
Os: 0.0000 0.0000 0.5000 [4 per cell]  8 Tl 2.96


VASP calculation (PBE-GGA) on crystalline In2Hg2Pb at its relaxed geometry.

## Properties
DFT total energy   -1.93 eV per atom
Energy of formation from the pure elements   0.027 eV/atom
Relative energy among the computed polymorphs   0.007 eV per atom

a = 8.7019 Å, b = 8.7019 Å, c = 3.6557 Å
α = 90.00°, β = 90.00°, γ = 90.00°
Last column: nearest neighbours and their distance in Å.
Space group P4/mbm (No. 127)
One atom of each set of equivalent atoms:
In: 0.1545 0.3455 0.0000 [4 per cell]  6 Hg 3.08-3.18
Hg: 0.1443 0.6443 0.5000 [4 per cell]  6 In 3.08-3.18, 2 Pb 3.34
Pb: 0.0000 0.0000 0.5000 [2 per cell]  4 Hg 3.34, 2 Pb 3.66


VASP calculation (PBE-GGA) on crystalline Sm4PuH10 at its relaxed geometry.

## Properties
DFT total energy   -5.06 eV per atom

a = 3.7828 Å, b = 3.7828 Å, c = 46.4626 Å
α = 90.00°, β = 90.00°, γ = 120.00°
Last column: nearest neighbours and their distance in Å.
Space group R-3m (No. 166, hexagonal axes)
One atom of each set of equivalent atoms:
Sm: 0.0000 0.0000 0.1002 [6 per cell]  8 H 2.32
Sm: 0.0000 0.0000 0.3000 [6 per cell]  8 H 2.32
Pu: 0.0000 0.0000 0.5000 [3 per cell]  8 H 2.31-2.32
H: 0.0000 0.0000 0.0502 [6 per cell]  4 Sm 2.32
H: 0.0000 0.0000 0.1501 [6 per cell]  3 Pu 2.32, 1 Sm 2.32
H: 0.0000 0.0000 0.2499 [6 per cell]  4 Sm 2.32
H: 0.0000 0.0000 0.3500 [6 per cell]  4 Sm 2.32
H: 0.0000 0.0000 0.4504 [6 per cell]  1 Pu 2.31, 3 Sm 2.32


VASP calculation (PBE-GGA) on crystalline PmBI at its relaxed geometry.

## Properties
DFT total energy   -4.94 eV per atom

a = 11.3661 Å, b = 4.2490 Å, c = 7.7851 Å
α = 90.00°, β = 94.64°, γ = 90.00°
Last column: nearest neighbours and their distance in Å.
Space group P2_1/c (No. 14)
One atom of each set of equivalent atoms:
Pm: 0.1356 0.1135 0.3167 [4 per cell]  4 B 2.64-2.93
B: 0.0264 0.6278 0.4457 [4 per cell]  1 B 1.53
I: 0.3152 0.5719 0.1485 [4 per cell]  3 Pm 3.18-3.41


VASP calculation (PBE-GGA) on crystalline Cu3HgCl at its relaxed geometry.

## Properties
DFT total energy   -2.07 eV per atom
Relative energy among the computed polymorphs   0.203 eV per atom

a = 4.9318 Å, b = 4.9318 Å, c = 4.9318 Å
α = 90.00°, β = 90.00°, γ = 90.00°
Last column: nearest neighbours and their distance in Å.
Space group Pm-3m (No. 221)
One atom of each set of equivalent atoms:
Cu: 0.0000 0.0000 0.5000 [3 per cell]  2 Hg 2.47
Hg: 0.0000 0.0000 0.0000 [1 per cell]  6 Cu 2.47
Cl: 0.5000 0.5000 0.5000 [1 per cell]  12 Cu 3.49


VASP calculation (PBE-GGA) on crystalline YRe5 at its relaxed geometry.

## Properties
DFT total energy   -11.09 eV per atom
Energy of formation from the pure elements   0.366 eV/atom
Relative energy among the computed polymorphs   0.237 eV per atom

a = 4.4548 Å, b = 2.7993 Å, c = 16.5632 Å
α = 90.00°, β = 90.00°, γ = 90.00°
Last column: nearest neighbours and their distance in Å.
Space group Amm2 (No. 38)
One atom of each set of equivalent atoms:
Y: 0.0000 0.0000 0.0000 [2 per cell]  2 Y 2.80, 6 Re 3.02-3.04
Re: 0.0000 0.0000 0.3185 [2 per cell]  10 Re 2.70-2.80
Re: 0.0000 0.0000 0.6765 [2 per cell]  10 Re 2.68-2.80
Re: 0.5000 0.0000 0.1250 [2 per cell]  8 Re 2.72-2.80, 2 Y 3.04
Re: 0.5000 0.0000 0.4110 [2 per cell]  6 Re 2.70-2.80, 4 Y 3.02
Re: 0.5000 0.0000 0.7661 [2 per cell]  12 Re 2.68-2.80